Record 1
PrSc2TcN4: optimized geometry, PBE.

The structure in POSCAR format:
```
PrSc2TcN4
1.0
1.6814 -5.6721 0.0000
1.6814 5.6721 0.0000
0.0000 0.0000 11.0625
Pr Sc Tc N
2 4 2 8
direct
0.1181 0.8819 0.7500
0.8819 0.1181 0.2500
0.3688 0.6312 0.5375
0.3688 0.6312 0.9625
0.6312 0.3688 0.0375
0.6312 0.3688 0.4625
0.1431 0.8569 0.2500
0.8569 0.1431 0.7500
0.0000 0.0000 0.0000
0.0000 0.0000 0.5000
0.2598 0.7402 0.1171
0.2598 0.7402 0.3829
0.4434 0.5566 0.7500
0.5566 0.4434 0.2500
0.7402 0.2598 0.6171
0.7402 0.2598 0.8829
```

Output
Its symmetry is Cmcm (63). The value obtained for the spin magnetization is 0.00 μB per cell. The value obtained for the formation energy (no corrections) is -1132 meV/atom.


Record 2
PrScTiN3: optimized geometry, PBE.

The structure in POSCAR format:
```
PrScTiN3
1.0
6.9736 0.0000 0.0000
0.0000 3.3387 0.0000
-1.0875 0.0000 7.8927
Pr Sc Ti N
2 2 2 6
direct
0.1727 0.2500 0.1949
0.8273 0.7500 0.8051
0.3636 0.7500 0.8772
0.6364 0.2500 0.1228
0.1260 0.2500 0.5932
0.8740 0.7500 0.4068
0.1357 0.2500 0.8405
0.1740 0.7500 0.4716
0.4224 0.7500 0.1363
0.5776 0.2500 0.8637
0.8260 0.2500 0.5284
0.8643 0.7500 0.1595
```

Output
Its symmetry is P2_1/m (11). The value obtained for the spin magnetization is 0.00 μB per cell. The value obtained for the formation energy (no corrections) is -1346 meV/atom.


Record 3
PrScW2N6: optimized geometry, PBE.

The structure in POSCAR format:
```
PrScW2N6
1.0
5.7421 -4.8745 0.0000
5.7421 4.8745 0.0000
-2.7695 0.0000 5.7945
Pr Sc W N
2 2 4 12
direct
0.1022 0.8978 0.7500
0.8978 0.1022 0.2500
0.2712 0.7288 0.2500
0.7288 0.2712 0.7500
0.2125 0.3773 0.8263
0.3773 0.2125 0.3263
0.6227 0.7875 0.6737
0.7875 0.6227 0.1737
0.0033 0.2297 0.6822
0.1393 0.6237 0.8704
0.2297 0.0033 0.1822
0.3169 0.3861 0.1408
0.3763 0.8608 0.6296
0.3861 0.3169 0.6408
0.6139 0.6831 0.3592
0.6237 0.1393 0.3704
0.6831 0.6139 0.8592
0.7703 0.9967 0.8178
0.8608 0.3763 0.1296
0.9967 0.7703 0.3178
```

Output
Its symmetry is C2/c (15). The value obtained for the spin magnetization is 0.00 μB per cell. The value obtained for the formation energy (no corrections) is -895 meV/atom.


Record 4
PrSeN: optimized geometry, PBE.

The structure in POSCAR format:
```
PrSeN
1.0
3.7383 -2.1073 0.0000
3.7383 2.1073 0.0000
-0.2192 0.0000 10.0772
Pr Se N
2 2 2
direct
0.1468 0.1468 0.3315
0.8532 0.8532 0.6685
0.2005 0.2005 0.8165
0.7995 0.7995 0.1835
0.4290 0.4290 0.4676
0.5710 0.5710 0.5324
```

Output
Its symmetry is C2/m (12). The value obtained for the spin magnetization is 0.00 μB per cell. The value obtained for the formation energy (no corrections) is -1017 meV/atom. Its excess energy over the best structure of this formula in the dataset is 175.7 meV/atom.


Record 5
Pr5Se5N2: optimized geometry, PBE.

The structure in POSCAR format:
```
Pr5Se5N2
1.0
6.8272 -2.0286 0.0000
6.8272 2.0286 0.0000
-3.0223 0.0000 10.8685
Pr Se N
5 5 2
direct
0.0000 0.0000 0.0000
0.0962 0.0962 0.3683
0.3507 0.3507 0.2038
0.6493 0.6493 0.7962
0.9038 0.9038 0.6317
0.2461 0.2461 0.6361
0.3352 0.3352 0.9274
0.5000 0.5000 0.5000
0.6648 0.6648 0.0726
0.7539 0.7539 0.3639
0.0455 0.0455 0.7985
0.9545 0.9545 0.2015
```

Output
Its symmetry is C2/m (12). The value obtained for the spin magnetization is 0.00 μB per cell. The value obtained for the formation energy (no corrections) is -1596 meV/atom.


Record 6
Pr4SeN2: optimized geometry, PBE.

The structure in POSCAR format:
```
Pr4SeN2
1.0
1.8920 1.0923 13.3326
-1.8920 1.0923 13.3326
0.0000 -2.1846 13.3326
Pr Se N
4 1 2
direct
0.1213 0.1213 0.1213
0.2814 0.2814 0.2814
0.7186 0.7186 0.7186
0.8787 0.8787 0.8787
0.0000 0.0000 0.0000
0.4205 0.4205 0.4205
0.5795 0.5795 0.5795
```

Output
Its symmetry is R-3m (166). The value obtained for the spin magnetization is 0.87 μB per cell. The value obtained for the formation energy (no corrections) is -1231 meV/atom.


Record 7
Pr3SeN2: optimized geometry, PBE.

The structure in POSCAR format:
```
Pr3SeN2
1.0
1.9765 -6.6960 0.0000
1.9765 6.6960 0.0000
0.0000 0.0000 10.1316
Pr Se N
6 2 4
direct
0.0623 0.9377 0.7500
0.3795 0.6205 0.5640
0.3795 0.6205 0.9360
0.6205 0.3795 0.0640
0.6205 0.3795 0.4360
0.9377 0.0623 0.2500
0.2550 0.7450 0.2500
0.7450 0.2550 0.7500
0.0000 0.0000 0.0000
0.0000 0.0000 0.5000
0.4692 0.5308 0.7500
0.5308 0.4692 0.2500
```

Output
Its symmetry is Cmcm (63). The value obtained for the spin magnetization is 0.00 μB per cell. The value obtained for the formation energy (no corrections) is -1363 meV/atom. Its excess energy over the best structure of this formula in the dataset is 0.0 meV/atom.


Record 8
Pr2SeN: optimized geometry, PBE.

The structure in POSCAR format:
```
Pr2SeN
1.0
1.9322 1.1156 6.8621
-1.9322 1.1156 6.8621
0.0000 -2.2311 6.8621
Pr Se N
2 1 1
direct
0.2341 0.2341 0.2341
0.7659 0.7659 0.7659
0.0000 0.0000 0.0000
0.5000 0.5000 0.5000
```

Output
Its symmetry is R-3m (166). The value obtained for the spin magnetization is 0.00 μB per cell. The value obtained for the formation energy (no corrections) is -1578 meV/atom. Its excess energy over the best structure of this formula in the dataset is 0.0 meV/atom.